Version 1
VASP calculation (GGA-PBE) on a geometry-optimized ZnSnSeO structure.

Lattice parameters (Å, degrees): 6.006 3.893 13.949 90.00 90.00 90.00
Fractional positions:
Zn  0.124  0.250  0.198
Zn  0.376  0.750  0.698
Zn  0.624  0.250  0.302
Zn  0.876  0.750  0.802
Sn  0.247  0.750  0.412
Sn  0.253  0.250  0.912
Sn  0.747  0.750  0.088
Sn  0.753  0.250  0.588
Se  0.239  0.750  0.100
Se  0.261  0.250  0.600
Se  0.739  0.750  0.400
Se  0.761  0.250  0.900
O  0.213  0.750  0.820
O  0.287  0.250  0.320
O  0.713  0.750  0.680
O  0.787  0.250  0.180

=====

Version 2
VASP calculation (GGA-PBE) on a geometry-optimized ZnSnSeO structure.

Lattice parameters (Å, degrees): 5.704 7.568 16.079 90.00 90.00 90.00
Fractional positions:
Zn  0.081  0.230  0.199
Zn  0.081  0.270  0.699
Zn  0.419  0.730  0.199
Zn  0.419  0.770  0.699
Zn  0.581  0.230  0.301
Zn  0.581  0.270  0.801
Zn  0.919  0.730  0.301
Zn  0.919  0.770  0.801
Sn  0.105  0.242  0.424
Sn  0.105  0.258  0.924
Sn  0.395  0.742  0.424
Sn  0.395  0.758  0.924
Sn  0.605  0.242  0.076
Sn  0.605  0.258  0.576
Sn  0.895  0.742  0.076
Sn  0.895  0.758  0.576
Se  0.241  0.014  0.614
Se  0.241  0.486  0.114
Se  0.259  0.514  0.614
Se  0.259  0.986  0.114
Se  0.741  0.014  0.886
Se  0.741  0.486  0.386
Se  0.759  0.514  0.886
Se  0.759  0.986  0.386
O  0.240  0.230  0.306
O  0.240  0.270  0.806
O  0.260  0.730  0.306
O  0.260  0.770  0.806
O  0.740  0.230  0.194
O  0.740  0.270  0.694
O  0.760  0.730  0.194
O  0.760  0.770  0.694

=====

Which structure is most stable? version 1, by 22 meV/atom over the runner-up.

=====

Version 1
VASP calculation (GGA-PBE) on a geometry-optimized TbTlSeO structure.

Lattice parameters (Å, degrees): 5.593 5.558 12.154 90.00 100.13 90.00
Fractional positions:
Tb  0.039  0.000  0.092
Tb  0.461  0.001  0.908
Tb  0.539  0.501  0.092
Tb  0.961  0.500  0.908
Tl  0.005  0.614  0.608
Tl  0.492  0.614  0.392
Tl  0.508  0.114  0.608
Tl  0.995  0.114  0.392
Se  0.021  0.112  0.739
Se  0.480  0.110  0.261
Se  0.520  0.610  0.739
Se  0.979  0.612  0.261
O  0.250  0.256  0.000
O  0.250  0.754  0.000
O  0.750  0.254  0.000
O  0.750  0.756  0.000

=====

Version 2
VASP calculation (GGA-PBE) on a geometry-optimized TbTlSeO structure.

Lattice parameters (Å, degrees): 4.714 7.712 6.640 90.00 90.00 90.00
Fractional positions:
Tb  0.000  0.151  0.000
Tb  0.000  0.849  0.500
Tl  0.500  0.249  0.555
Tl  0.500  0.751  0.055
Se  0.500  0.344  0.013
Se  0.500  0.656  0.513
O  0.000  0.060  0.703
O  0.000  0.940  0.203

=====

Which structure is most stable? version 1, by 245 meV/atom over the runner-up.

=====

Version 1
VASP calculation (GGA-PBE) on a geometry-optimized TmTlSeO structure.

Lattice parameters (Å, degrees): 4.455 8.112 6.571 90.00 90.00 90.00
Fractional positions:
Tm  0.000  0.128  0.000
Tm  0.000  0.872  0.500
Tl  0.500  0.288  0.574
Tl  0.500  0.712  0.074
Se  0.500  0.316  0.063
Se  0.500  0.684  0.563
O  0.000  0.074  0.693
O  0.000  0.926  0.193

=====

Version 2
VASP calculation (GGA-PBE) on a geometry-optimized TmTlSeO structure.

Lattice parameters (Å, degrees): 3.895 3.895 12.279 96.40 96.40 89.91
Fractional positions:
Tm  0.215  0.215  0.413
Tm  0.785  0.785  0.587
Tl  0.118  0.428  0.112
Tl  0.572  0.882  0.888
Se  0.029  0.344  0.759
Se  0.656  0.971  0.241
O  0.246  0.754  0.500
O  0.743  0.257  0.500

=====

Which structure is most stable? version 2, by 245 meV/atom over the runner-up.

=====

Version 1
VASP calculation (GGA-PBE) on a geometry-optimized Sm2Si2O5 structure.

Lattice parameters (Å, degrees): 3.505 3.505 9.741 90.00 90.00 90.00
Fractional positions:
Sm  0.000  0.000  0.244
Sm  0.000  0.000  0.756
Si  0.500  0.500  0.000
Si  0.500  0.500  0.500
O  0.000  0.000  0.000
O  0.000  0.500  0.384
O  0.000  0.500  0.616
O  0.500  0.000  0.384
O  0.500  0.000  0.616

=====

Version 2
VASP calculation (GGA-PBE) on a geometry-optimized Sm2Si2O5 structure.

Lattice parameters (Å, degrees): 3.924 3.924 6.689 90.00 90.00 90.00
Fractional positions:
Sm  0.000  0.000  0.000
Sm  0.000  0.000  0.500
Si  0.500  0.500  0.233
Si  0.500  0.500  0.767
O  0.000  0.500  0.246
O  0.000  0.500  0.754
O  0.500  0.000  0.246
O  0.500  0.000  0.754
O  0.500  0.500  0.500

=====

Which structure is most stable? version 2, by 409 meV/atom over the runner-up.

=====

Version 1
VASP calculation (GGA-PBE) on a geometry-optimized Sm2SiO4 structure.

Lattice parameters (Å, degrees): 6.813 6.813 6.813 60.00 60.00 60.00
Fractional positions:
Sm  0.000  0.000  0.000
Sm  0.000  0.000  0.500
Sm  0.000  0.500  0.000
Sm  0.500  0.000  0.000
Si  0.375  0.375  0.375
Si  0.625  0.625  0.625
O  0.233  0.756  0.756
O  0.244  0.244  0.244
O  0.244  0.244  0.767
O  0.244  0.767  0.244
O  0.756  0.233  0.756
O  0.756  0.756  0.233
O  0.756  0.756  0.756
O  0.767  0.244  0.244

=====

Version 2
VASP calculation (GGA-PBE) on a geometry-optimized Sm2SiO4 structure.

Lattice parameters (Å, degrees): 6.716 5.475 10.146 90.00 90.00 90.00
Fractional positions:
Sm  0.032  0.250  0.187
Sm  0.113  0.250  0.549
Sm  0.387  0.750  0.049
Sm  0.468  0.750  0.687
Sm  0.532  0.250  0.313
Sm  0.613  0.250  0.951
Sm  0.887  0.750  0.451
Sm  0.968  0.750  0.813
Si  0.160  0.250  0.837
Si  0.340  0.750  0.337
Si  0.660  0.250  0.663
Si  0.840  0.750  0.163
O  0.033  0.750  0.057
O  0.151  0.750  0.617
O  0.195  0.505  0.369
O  0.195  0.995  0.369
O  0.305  0.005  0.869
O  0.305  0.495  0.869
O  0.349  0.250  0.117
O  0.467  0.250  0.557
O  0.533  0.750  0.443
O  0.651  0.750  0.883
O  0.695  0.505  0.131
O  0.695  0.995  0.131
O  0.805  0.005  0.631
O  0.805  0.495  0.631
O  0.849  0.250  0.383
O  0.967  0.250  0.943

=====

Which structure is most stable? version 2, by 455 meV/atom over the runner-up.

=====

Version 1
VASP calculation (GGA-PBE) on a geometry-optimized Tb2Si2O5 structure.

Lattice parameters (Å, degrees): 3.888 3.888 6.477 90.00 90.00 90.00
Fractional positions:
Tb  0.000  0.000  0.000
Tb  0.000  0.000  0.500
Si  0.500  0.500  0.225
Si  0.500  0.500  0.775
O  0.000  0.500  0.242
O  0.000  0.500  0.758
O  0.500  0.000  0.242
O  0.500  0.000  0.758
O  0.500  0.500  0.500

=====

Version 2
VASP calculation (GGA-PBE) on a geometry-optimized Tb2Si2O5 structure.

Lattice parameters (Å, degrees): 3.483 3.483 9.503 90.00 90.00 90.00
Fractional positions:
Tb  0.000  0.000  0.244
Tb  0.000  0.000  0.756
Si  0.500  0.500  0.000
Si  0.500  0.500  0.500
O  0.000  0.000  0.000
O  0.000  0.500  0.381
O  0.000  0.500  0.619
O  0.500  0.000  0.381
O  0.500  0.000  0.619

=====

Which structure is most stable? version 1, by 299 meV/atom over the runner-up.